GGA-PBEsol FeNi2Pt, relaxed; magnetic moment = 4.35 Bohr magnetons per cell; ΔH_f (0 K) = -0.099 eV per atom; DOS(E_F) = 4.49 states/eV per cell
1.0
2.600 0.000 0.000
0.000 3.544 0.000
0.000 0.000 5.164
Fe Ni Pt
1 2 1
Direct
0.000 0.000 0.000
0.000 0.000 0.464
0.500 0.500 0.234
0.500 0.500 0.730

GGA-PBEsol FeNiPt, relaxed; magnetic moment = 3.80 Bohr magnetons per cell; ΔH_f (0 K) = -0.086 eV per atom; DOS(E_F) = 2.57 states/eV per cell
1.0
4.071 0.000 0.000
-2.035 3.525 0.000
0.000 0.000 2.602
Fe Ni Pt
1 1 1
Direct
0.000 0.000 0.000
0.333 0.667 0.993
0.667 0.333 0.496

GGA-PBEsol FeNi6Pt, relaxed; magnetic moment = 27.74 Bohr magnetons per cell; ΔH_f (0 K) = -0.060 eV per atom; DOS(E_F) = 38.42 states/eV per cell
1.0
3.536 -5.016 0.000
3.536 5.016 0.000
0.000 0.000 10.046
Fe Ni Pt
4 24 4
Direct
0.000 0.000 0.247
0.000 0.000 0.753
0.249 0.751 0.000
0.751 0.249 0.000
0.000 0.000 0.000
0.000 0.000 0.500
0.119 0.372 0.121
0.119 0.372 0.879
0.122 0.368 0.370
0.122 0.368 0.630
0.246 0.754 0.243
0.246 0.754 0.757
0.368 0.122 0.370
0.368 0.122 0.630
0.372 0.119 0.121
0.372 0.119 0.879
0.500 0.500 0.000
0.500 0.500 0.500
0.628 0.881 0.121
0.628 0.881 0.879
0.632 0.878 0.370
0.632 0.878 0.630
0.754 0.246 0.243
0.754 0.246 0.757
0.878 0.632 0.370
0.878 0.632 0.630
0.881 0.628 0.121
0.881 0.628 0.879
0.250 0.750 0.500
0.500 0.500 0.248
0.500 0.500 0.752
0.750 0.250 0.500

GGA-PBEsol FeNi2Pt, relaxed; magnetic moment = 4.34 Bohr magnetons per cell; ΔH_f (0 K) = -0.076 eV per atom; DOS(E_F) = 4.91 states/eV per cell
1.0
4.227 -1.307 0.000
4.227 1.307 0.000
-0.837 0.000 4.321
Fe Ni Pt
1 2 1
Direct
0.000 0.000 0.000
0.494 0.494 0.474
0.746 0.746 0.238
0.247 0.247 0.735

GGA-PBEsol FeNi2Pt, relaxed; magnetic moment = 4.40 Bohr magnetons per cell; ΔH_f (0 K) = -0.135 eV per atom; DOS(E_F) = 4.24 states/eV per cell
1.0
-1.812 1.812 3.618
1.812 -1.812 3.618
1.812 1.812 -3.618
Fe Ni Pt
1 2 1
Direct
0.000 0.000 0.000
0.500 0.500 0.000
0.750 0.250 0.500
0.250 0.750 0.500

GGA-PBEsol Fe2NiPt, relaxed; magnetic moment = 6.49 Bohr magnetons per cell; ΔH_f (0 K) = -0.090 eV per atom; DOS(E_F) = 3.58 states/eV per cell
1.0
-1.824 1.824 3.648
1.824 -1.824 3.648
1.824 1.824 -3.648
Fe Ni Pt
2 1 1
Direct
0.000 0.000 0.000
0.750 0.250 0.500
0.500 0.500 0.000
0.250 0.750 0.500